Here is a relaxed MnNb2Ni9 crystal from Alexandria via LeMat-Bulk. Energies are from PBE-GGA.

As for the formation energy from the elements: -204.7 meV per atom.

a = 3.655 Å, b = 3.655 Å, c = 10.942 Å
α = 90.00°, β = 90.00°, γ = 90.00°
Space group P4/mmm (No. 123)
Unique sites:
Mn (0.000, 0.000, 0.000) (multiplicity 1)
Nb (0.000, 0.000, 0.326) (multiplicity 2)
Ni (0.000, 0.500, 0.164) (multiplicity 4)
Ni (0.000, 0.500, 0.500) (multiplicity 2)
Ni (0.500, 0.500, 0.000) (multiplicity 1)
Ni (0.500, 0.500, 0.335) (multiplicity 2)

***

Here is a relaxed TcMo2As crystal from Alexandria via LeMat-Bulk. Energies are from PBE-GGA.

As for the formation energy from the elements: 517.5 meV per atom.

a = 3.760 Å, b = 3.760 Å, c = 18.621 Å
α = 90.00°, β = 90.00°, γ = 90.00°
Space group I-42d (No. 122)
Unique sites:
Tc (0.000, 0.000, 0.000) (multiplicity 4)
Mo (0.232, 0.250, 0.625) (multiplicity 8)
As (0.000, 0.000, 0.500) (multiplicity 4)

***

Here is a relaxed SrTl2PAu crystal from Alexandria via LeMat-Bulk. Energies are from PBE-GGA.

As for the formation energy from the elements: 109.6 meV per atom.

a = 5.322 Å, b = 5.322 Å, c = 5.918 Å
α = 90.00°, β = 90.00°, γ = 90.00°
Space group P4/mmm (No. 123)
Unique sites:
Sr (0.000, 0.000, 0.000) (multiplicity 1)
Tl (0.000, 0.500, 0.500) (multiplicity 2)
P (0.500, 0.500, 0.000) (multiplicity 1)
Au (0.000, 0.000, 0.500) (multiplicity 1)

***

Here is a relaxed Sc2TlSb crystal from Alexandria via LeMat-Bulk. Energies are from PBE-GGA.

For the uncorrected formation energy, the calculation gives -397 meV per atom.

a = 3.363 Å, b = 3.363 Å, c = 8.326 Å
α = 90.00°, β = 90.00°, γ = 90.00°
Space group P4/mmm (No. 123)
Unique sites:
Sc (0.000, 0.000, 0.242) (multiplicity 2)
Tl (0.500, 0.500, 0.500) (multiplicity 1)
Sb (0.500, 0.500, 0.000) (multiplicity 1)

***

Here is a relaxed CsPuZnO4 crystal from Alexandria via LeMat-Bulk. Energies are from PBE-GGA.

For the uncorrected formation energy, the calculation gives -1926 meV per atom.

a = 6.413 Å, b = 6.951 Å, c = 11.354 Å
α = 90.00°, β = 90.00°, γ = 90.00°
Space group Imma (No. 74)
Unique sites:
Cs (0.000, 0.250, 0.169) (multiplicity 4)
Pu (0.000, 0.000, 0.500) (multiplicity 4)
Zn (0.250, 0.250, 0.750) (multiplicity 4)
O (0.000, 0.065, 0.691) (multiplicity 8)
O (0.197, 0.250, 0.495) (multiplicity 8)

***

Here is a relaxed CeDyCdSi crystal from Alexandria via LeMat-Bulk. Energies are from PBE-GGA.

For the uncorrected formation energy, the calculation gives -332 meV per atom.

a = 7.302 Å, b = 7.302 Å, c = 7.302 Å
α = 90.00°, β = 90.00°, γ = 90.00°
Space group F-43m (No. 216)
Unique sites:
Ce (0.000, 0.000, 0.000) (multiplicity 4)
Dy (0.000, 0.000, 0.500) (multiplicity 4)
Cd (0.250, 0.250, 0.750) (multiplicity 4)
Si (0.250, 0.250, 0.250) (multiplicity 4)

***

Here is a relaxed Na3Sm3AuO8 crystal from Alexandria via LeMat-Bulk. Energies are from PBE-GGA.

For the uncorrected formation energy, the calculation gives -2097 meV per atom.

a = 11.779 Å, b = 6.985 Å, c = 6.911 Å
α = 90.00°, β = 124.97°, γ = 90.00°
Space group C2/m (No. 12)
Unique sites:
Na (0.000, 0.000, 0.000) (multiplicity 2)
Na (0.250, 0.250, 0.500) (multiplicity 4)
Sm (0.000, 0.500, 0.500) (multiplicity 2)
Sm (0.250, 0.250, 0.000) (multiplicity 4)
Au (0.000, 0.000, 0.500) (multiplicity 2)
O (0.007, 0.240, 0.729) (multiplicity 8)
O (0.215, 0.000, 0.731) (multiplicity 4)
O (0.240, 0.500, 0.768) (multiplicity 4)

***

Here is a relaxed Dy4TlCd crystal from Alexandria via LeMat-Bulk. Energies are from PBE-GGA.

As for the formation energy from the elements: 34.6 meV per atom.

a = 5.1596 Å, b = 5.1596 Å, c = 25.2603 Å
α = 90.00°, β = 90.00°, γ = 120.00°
Space group R-3m (No. 166, hexagonal axes)
Unique sites:
Dy (0.0000, 0.0000, 0.1233) (multiplicity 6)
Dy (0.0000, 0.0000, 0.3731) (multiplicity 6)
Tl (0.0000, 0.0000, 0.5000) (multiplicity 3)
Cd (0.0000, 0.0000, 0.0000) (multiplicity 3)

***

Here is a relaxed DyZr4In5 crystal from Alexandria via LeMat-Bulk. Energies are from PBE-GGA.

As for the formation energy from the elements: -327.0 meV per atom.

a = 3.207 Å, b = 3.207 Å, c = 22.237 Å
α = 90.00°, β = 90.00°, γ = 90.00°
Space group P4/mmm (No. 123)
Unique sites:
Dy (0.000, 0.000, 0.000) (multiplicity 1)
Zr (0.000, 0.000, 0.206) (multiplicity 2)
Zr (0.000, 0.000, 0.402) (multiplicity 2)
In (0.500, 0.500, 0.107) (multiplicity 2)
In (0.500, 0.500, 0.304) (multiplicity 2)
In (0.500, 0.500, 0.500) (multiplicity 1)

***

Here is a relaxed RbCa4Zn2 crystal from Alexandria via LeMat-Bulk. Energies are from PBE-GGA.

As for the formation energy from the elements: 517.7 meV per atom.

a = 6.019 Å, b = 6.019 Å, c = 15.484 Å
α = 90.00°, β = 90.00°, γ = 90.00°
Space group I4/mmm (No. 139)
Unique sites:
Rb (0.000, 0.000, 0.000) (multiplicity 2)
Ca (0.000, 0.000, 0.237) (multiplicity 4)
Ca (0.000, 0.500, 0.000) (multiplicity 4)
Zn (0.000, 0.000, 0.422) (multiplicity 4)

***

Here is a relaxed RbPmHg2 crystal from Alexandria via LeMat-Bulk. Energies are from PBE-GGA.

As for the formation energy from the elements: -271.6 meV per atom.

a = 3.933 Å, b = 3.933 Å, c = 8.662 Å
α = 90.00°, β = 90.00°, γ = 90.00°
Space group P4/mmm (No. 123)
Unique sites:
Rb (0.000, 0.000, 0.000) (multiplicity 1)
Pm (0.000, 0.000, 0.500) (multiplicity 1)
Hg (0.500, 0.500, 0.304) (multiplicity 2)

***

Here is a relaxed LiTa2Ir crystal from Alexandria via LeMat-Bulk. Energies are from PBE-GGA.

As for the formation energy from the elements: -86.8 meV per atom.

a = 3.149 Å, b = 3.149 Å, c = 6.370 Å
α = 90.00°, β = 90.00°, γ = 90.00°
Space group P4mm (No. 99)
Unique sites:
Li (0.000, 0.000, 0.000) (multiplicity 1)
Ta (0.000, 0.000, 0.557) (multiplicity 1)
Ta (0.500, 0.500, 0.260) (multiplicity 1)
Ir (0.500, 0.500, 0.796) (multiplicity 1)

***

Here is a relaxed AlTlIn2 crystal from Alexandria via LeMat-Bulk. Energies are from PBE-GGA.

As for the formation energy from the elements: 169.5 meV per atom.

a = 4.690 Å, b = 4.690 Å, c = 9.363 Å
α = 90.00°, β = 90.00°, γ = 90.00°
Space group I4/mmm (No. 139)
Unique sites:
Al (0.000, 0.000, 0.000) (multiplicity 2)
Tl (0.000, 0.000, 0.500) (multiplicity 2)
In (0.000, 0.500, 0.250) (multiplicity 4)

***

Here is a relaxed DySn3 crystal from Alexandria via LeMat-Bulk. Energies are from PBE-GGA.

As for the formation energy from the elements: -420.4 meV per atom.

a = 4.708 Å, b = 4.708 Å, c = 4.721 Å
α = 90.00°, β = 90.00°, γ = 90.00°
Space group P4/mmm (No. 123)
Unique sites:
Dy (0.000, 0.000, 0.000) (multiplicity 1)
Sn (0.000, 0.500, 0.500) (multiplicity 2)
Sn (0.500, 0.500, 0.000) (multiplicity 1)

***

Here is a relaxed CuRh crystal from Alexandria via LeMat-Bulk. Energies are from PBE-GGA.

As for the formation energy from the elements: 75.9 meV per atom.

a = 9.530 Å, b = 2.731 Å, c = 4.527 Å
α = 90.00°, β = 115.44°, γ = 90.00°
Space group C2/m (No. 12)
Unique sites:
Cu (0.128, 0.000, 0.454) (multiplicity 4)
Rh (0.124, 0.500, 0.945) (multiplicity 4)

***

Here is a relaxed Ac2ScNbO8 crystal from Alexandria via LeMat-Bulk. Energies are from PBE-GGA.

For the uncorrected formation energy, the calculation gives -2646 meV per atom.

a = 4.243 Å, b = 5.951 Å, c = 7.170 Å
α = 93.00°, β = 93.56°, γ = 95.25°
Space group P-1 (No. 2)
Unique sites:
Ac (0.201, 0.475, 0.249) (multiplicity 2)
Sc (0.500, 0.000, 0.000) (multiplicity 1)
Nb (0.500, 0.000, 0.500) (multiplicity 1)
O (0.180, 0.736, 0.538) (multiplicity 2)
O (0.280, 0.682, 0.959) (multiplicity 2)
O (0.281, 0.246, 0.640) (multiplicity 2)
O (0.296, 0.054, 0.250) (multiplicity 2)

***

Here is a relaxed PmPrMgGe crystal from Alexandria via LeMat-Bulk. Energies are from PBE-GGA.

As for the formation energy from the elements: -374.1 meV per atom.

a = 7.485 Å, b = 7.485 Å, c = 7.485 Å
α = 90.00°, β = 90.00°, γ = 90.00°
Space group F-43m (No. 216)
Unique sites:
Pm (0.000, 0.000, 0.000) (multiplicity 4)
Pr (0.000, 0.000, 0.500) (multiplicity 4)
Mg (0.250, 0.250, 0.750) (multiplicity 4)
Ge (0.250, 0.250, 0.250) (multiplicity 4)

***

Here is a relaxed Mg2Sc3In crystal from Alexandria via LeMat-Bulk. Energies are from PBE-GGA.

As for the formation energy from the elements: -191.6 meV per atom.

a = 3.606 Å, b = 3.606 Å, c = 10.547 Å
α = 90.00°, β = 90.00°, γ = 90.00°
Space group P4/mmm (No. 123)
Unique sites:
Mg (0.000, 0.000, 0.165) (multiplicity 2)
Sc (0.500, 0.500, 0.000) (multiplicity 1)
Sc (0.500, 0.500, 0.333) (multiplicity 2)
In (0.000, 0.000, 0.500) (multiplicity 1)

***

Here is a relaxed CsKTa2Si crystal from Alexandria via LeMat-Bulk. Energies are from PBE-GGA.

For the uncorrected formation energy, the calculation gives 1219 meV per atom.

a = 4.942 Å, b = 4.942 Å, c = 6.453 Å
α = 90.00°, β = 90.00°, γ = 90.00°
Space group P4/mmm (No. 123)
Unique sites:
Cs (0.000, 0.000, 0.000) (multiplicity 1)
K (0.500, 0.500, 0.000) (multiplicity 1)
Ta (0.000, 0.500, 0.500) (multiplicity 2)
Si (0.500, 0.500, 0.500) (multiplicity 1)

***

Here is a relaxed CdMo2SeN crystal from Alexandria via LeMat-Bulk. Energies are from PBE-GGA.

For the uncorrected formation energy, the calculation gives 2225 meV per atom.

a = 4.616 Å, b = 4.616 Å, c = 5.063 Å
α = 90.00°, β = 90.00°, γ = 90.00°
Space group P4/mmm (No. 123)
Unique sites:
Cd (0.000, 0.000, 0.000) (multiplicity 1)
Mo (0.000, 0.500, 0.500) (multiplicity 2)
Se (0.000, 0.000, 0.500) (multiplicity 1)
N (0.500, 0.500, 0.000) (multiplicity 1)

***

Here is a relaxed GaCu3S2 crystal from Alexandria via LeMat-Bulk. Energies are from PBE-GGA.

For the uncorrected formation energy, the calculation gives -127 meV per atom.

a = 3.857 Å, b = 7.524 Å, c = 8.363 Å
α = 116.65°, β = 90.12°, γ = 104.74°
Space group P-1 (No. 2)
Unique sites:
Ga (0.135, 0.268, 0.086) (multiplicity 2)
Cu (0.055, 0.107, 0.397) (multiplicity 2)
Cu (0.319, 0.641, 0.598) (multiplicity 2)
Cu (0.399, 0.803, 0.359) (multiplicity 2)
S (0.199, 0.396, 0.686) (multiplicity 2)
S (0.496, 0.994, 0.783) (multiplicity 2)

***

Here is a relaxed CeCoSnRu crystal from Alexandria via LeMat-Bulk. Energies are from PBE-GGA.

As for the formation energy from the elements: -264.8 meV per atom.

a = 6.621 Å, b = 6.621 Å, c = 6.621 Å
α = 90.00°, β = 90.00°, γ = 90.00°
Space group F-43m (No. 216)
Unique sites:
Ce (0.000, 0.000, 0.000) (multiplicity 4)
Co (0.250, 0.250, 0.750) (multiplicity 4)
Sn (0.000, 0.000, 0.500) (multiplicity 4)
Ru (0.250, 0.250, 0.250) (multiplicity 4)

***

Here is a relaxed TlReHg2 crystal from Alexandria via LeMat-Bulk. Energies are from PBE-GGA.

As for the formation energy from the elements: 775.2 meV per atom.

a = 2.967 Å, b = 3.034 Å, c = 9.782 Å
α = 90.00°, β = 90.00°, γ = 90.00°
Space group Pmmm (No. 47)
Unique sites:
Tl (0.000, 0.000, 0.000) (multiplicity 1)
Re (0.000, 0.000, 0.500) (multiplicity 1)
Hg (0.500, 0.500, 0.292) (multiplicity 2)

***

Here is a relaxed Pr2CdI crystal from Alexandria via LeMat-Bulk. Energies are from PBE-GGA.

For the uncorrected formation energy, the calculation gives -523 meV per atom.

a = 3.9652 Å, b = 3.9652 Å, c = 28.9214 Å
α = 90.00°, β = 90.00°, γ = 120.00°
Space group R-3m (No. 166, hexagonal axes)
Unique sites:
Pr (0.0000, 0.0000, 0.2469) (multiplicity 6)
Cd (0.0000, 0.0000, 0.5000) (multiplicity 3)
I (0.0000, 0.0000, 0.0000) (multiplicity 3)

***

Here is a relaxed Cd2SiP crystal from Alexandria via LeMat-Bulk. Energies are from PBE-GGA.

For the uncorrected formation energy, the calculation gives 473 meV per atom.

a = 4.075 Å, b = 4.075 Å, c = 9.536 Å
α = 90.00°, β = 90.00°, γ = 90.00°
Space group I-4m2 (No. 119)
Unique sites:
Cd (0.000, 0.000, 0.000) (multiplicity 2)
Cd (0.000, 0.500, 0.250) (multiplicity 2)
Si (0.000, 0.000, 0.500) (multiplicity 2)
P (0.000, 0.500, 0.750) (multiplicity 2)

***

Here is a relaxed Zn2InSi crystal from Alexandria via LeMat-Bulk. Energies are from PBE-GGA.

For the uncorrected formation energy, the calculation gives 230 meV per atom.

a = 2.788 Å, b = 3.853 Å, c = 7.058 Å
α = 90.00°, β = 101.08°, γ = 90.00°
Space group Pm (No. 6)
Unique sites:
Zn (0.000, 0.000, 0.000) (multiplicity 1)
Zn (0.398, 0.500, 0.786) (multiplicity 1)
In (0.636, 0.500, 0.278) (multiplicity 1)
Si (0.807, 0.000, 0.606) (multiplicity 1)

***

The calculation returns the following DOS(E_F) values, one per record and in order: 0.347, 0.782, 0.274, 0.968, 0.736, 1.801, 0.109, 1.442, 0.987, 1.192, 0.960, 0.906, 0.521, 0.662, 1.623, 0.041, 0.785, 1.074, 1.325, 1.413, 0.000, 0.842, 0.832, 1.087, 0.376, 0.517 states/eV/atom.